[1]
Computed, not measured: a PBEsol-optimized structure of Li4Fe3Co2Sb3O16 at the meta-GGA SCAN level of DFT.

Cell lengths 5.9173, 5.9173, 9.2301 Å; angles 90.83, 90.83, 59.98 degrees
With the nearest neighbours (Å) after each atom.
Element x y z (fractional)
1 Li 0.0000 0.0000 0.0000  3 O 1.79-1.93
2 Li 0.2193 0.2193 0.1003  3 O 1.87-2.00
3 Li 0.5390 0.5390 0.5638  4 O 1.96-1.98
4 Li 0.8987 0.8987 0.4541  2 O 1.78-1.84
5 Fe 0.0420 0.0420 0.7458  6 O 1.92-1.97
6 Fe 0.2149 0.7045 0.2400  6 O 1.92-1.95
7 Fe 0.7045 0.2149 0.2400  6 O 1.92-1.95
8 Co 0.2011 0.2011 0.4575  3 O 1.95-2.06
9 Co 0.5342 0.5342 0.9763  6 O 1.91-2.02
10 Sb 0.0386 0.5363 0.7559  6 O 2.00-2.04
11 Sb 0.5363 0.0386 0.7559  6 O 2.00-2.04
12 Sb 0.7086 0.7086 0.2400  6 O 2.01-2.06
13 O 0.0430 0.0430 0.3380  1 Li 1.84, 1 Co 1.95, 2 Fe 1.95
14 O 0.0517 0.5529 0.3517  1 Fe 1.93, 1 Li 2.00, 1 Sb 2.03, 1 Co 2.06
15 O 0.1960 0.7217 0.8630  1 Li 1.93, 1 Fe 1.97, 1 Sb 2.00, 1 Co 2.02
16 O 0.1969 0.1969 0.8697  1 Fe 1.94, 2 Sb 2.04, 1 Li 2.14
17 O 0.3488 0.9082 0.6283  1 Fe 1.92, 1 Li 1.98, 1 Sb 2.00
18 O 0.3575 0.3575 0.6260  1 Li 1.96, 2 Sb 2.04
19 O 0.3816 0.8318 0.1107  1 Fe 1.94, 1 Co 1.96, 1 Li 2.00, 1 Sb 2.06
20 O 0.4010 0.4010 0.1181  1 Li 1.87, 1 Co 1.91, 2 Fe 1.92
21 O 0.5399 0.5399 0.3494  2 Fe 1.94, 1 Li 1.98, 1 Sb 2.02
22 O 0.5529 0.0517 0.3517  1 Fe 1.93, 1 Li 2.00, 1 Sb 2.03, 1 Co 2.06
23 O 0.7014 0.7014 0.8698  1 Co 1.99, 2 Sb 2.03
24 O 0.7217 0.1960 0.8630  1 Li 1.93, 1 Fe 1.97, 1 Sb 2.00, 1 Co 2.02
25 O 0.8318 0.3816 0.1107  1 Fe 1.94, 1 Co 1.96, 1 Li 2.00, 1 Sb 2.06
26 O 0.8770 0.8770 0.6450  1 Li 1.78, 1 Fe 1.92
27 O 0.8807 0.8807 0.1397  1 Li 1.79, 2 Fe 1.94, 1 Sb 2.01
28 O 0.9082 0.3488 0.6283  1 Fe 1.92, 1 Li 1.98, 1 Sb 2.00

## Properties
Uncorrected formation energy ... -1.645 eV/atom



[2]
Computed, not measured: a PBEsol-optimized structure of Li4Fe3Co3Sn2O16 at the meta-GGA SCAN level of DFT.

Cell lengths 5.6992, 5.6992, 9.4493 Å; angles 90.10, 90.10, 59.53 degrees
With the nearest neighbours (Å) after each atom.
Element x y z (fractional)
1 Li 0.0000 0.0000 0.0000  4 O 1.78-1.87
2 Li 0.9996 0.9996 0.4992  4 O 1.79-1.87
3 Li 0.3351 0.3351 0.8966  4 O 1.89-2.04
4 Li 0.6683 0.6683 0.4017  4 O 1.89-2.04
5 Fe 0.1765 0.6521 0.2196  6 O 1.88-1.94
6 Fe 0.6521 0.1765 0.2196  6 O 1.88-1.94
7 Fe 0.8299 0.8299 0.7197  6 O 1.87-1.90
8 Co 0.1672 0.1672 0.2197  6 O 1.89-1.92
9 Co 0.3390 0.8308 0.7202  6 O 1.88-1.92
10 Co 0.8308 0.3390 0.7202  6 O 1.88-1.92
11 Sn 0.3305 0.3305 0.5000  6 O 2.02-2.15
12 Sn 0.6665 0.6665 0.9969  6 O 2.04-2.14
13 O 0.0330 0.4843 0.3343  1 Fe 1.89, 1 Li 1.90, 1 Co 1.90
14 O 0.1543 0.1543 0.6081  1 Li 1.84, 2 Co 1.91, 1 Sn 2.02
15 O 0.1541 0.6864 0.6123  1 Li 1.87, 1 Fe 1.89, 1 Co 1.92, 1 Sn 2.04
16 O 0.3137 0.8378 0.1111  1 Li 1.86, 1 Fe 1.90, 1 Co 1.92, 1 Sn 2.04
17 O 0.3289 0.3289 0.1128  2 Fe 1.88, 1 Co 1.89, 1 Li 2.04
18 O 0.4843 0.0330 0.3343  1 Fe 1.89, 1 Li 1.90, 1 Co 1.90
19 O 0.4857 0.4857 0.3413  1 Li 1.89, 2 Fe 1.91
20 O 0.5147 0.9699 0.8351  1 Li 1.89, 1 Fe 1.90, 1 Co 1.90
21 O 0.5168 0.5168 0.8353  1 Li 1.89, 2 Co 1.89
22 O 0.6676 0.6676 0.6172  1 Fe 1.87, 2 Co 1.89, 1 Li 2.04
23 O 0.6864 0.1541 0.6123  1 Li 1.87, 1 Fe 1.89, 1 Co 1.92, 1 Sn 2.04
24 O 0.8378 0.3137 0.1111  1 Li 1.86, 1 Fe 1.90, 1 Co 1.92, 1 Sn 2.04
25 O 0.8433 0.8433 0.1110  1 Li 1.87, 2 Fe 1.94, 1 Sn 2.05
26 O 0.9699 0.5147 0.8351  1 Li 1.89, 1 Fe 1.90, 1 Co 1.90
27 O 0.9972 0.9972 0.3099  1 Li 1.79, 1 Co 1.89, 2 Fe 1.90
28 O 0.9988 0.9988 0.8114  1 Li 1.78, 1 Fe 1.88, 2 Co 1.88

## Properties
Uncorrected formation energy ... -1.780 eV/atom



[3]
Computed, not measured: a PBEsol-optimized structure of Li4Ti3Fe2Co3O16 at the meta-GGA SCAN level of DFT.

Cell lengths 5.6224, 5.6224, 9.1900 Å; angles 90.19, 90.19, 61.16 degrees
With the nearest neighbours (Å) after each atom.
Element x y z (fractional)
1 Li 0.0000 0.0000 0.0000  4 O 1.75-1.94
2 Li 0.0104 0.0104 0.5061  3 O 1.73-1.88
3 Li 0.3197 0.3197 0.6127  4 O 1.89-1.91
4 Li 0.6504 0.6504 0.1014  4 O 1.86-1.91
5 Ti 0.1540 0.6474 0.2851  6 O 1.92-1.99
6 Ti 0.6474 0.1540 0.2851  6 O 1.92-1.99
7 Ti 0.8156 0.8156 0.7849  6 O 1.91-1.99
8 Fe 0.3201 0.3201 0.0064  6 O 1.84-1.95
9 Fe 0.6537 0.6537 0.5168  6 O 1.88-1.94
10 Co 0.1681 0.1681 0.2865  6 O 1.87-2.00
11 Co 0.3334 0.8186 0.7872  6 O 1.87-1.95
12 Co 0.8186 0.3334 0.7872  6 O 1.87-1.95
13 O 0.0284 0.4626 0.1488  1 Li 1.91, 1 Co 1.93, 1 Fe 1.95, 1 Ti 1.96
14 O 0.1582 0.6530 0.8994  1 Fe 1.91, 1 Li 1.94, 1 Co 1.95, 1 Ti 1.99
15 O 0.1626 0.1626 0.8933  1 Fe 1.84, 1 Li 1.86, 2 Co 1.95
16 O 0.3286 0.3286 0.4053  1 Co 1.90, 1 Li 1.91, 2 Ti 1.92
17 O 0.3319 0.8209 0.3981  1 Li 1.88, 1 Fe 1.92, 1 Ti 1.99, 1 Co 2.00
18 O 0.4626 0.0284 0.1488  1 Li 1.91, 1 Co 1.93, 1 Fe 1.95, 1 Ti 1.96
19 O 0.4646 0.4646 0.1531  1 Li 1.86, 1 Fe 1.94, 2 Ti 1.96
20 O 0.5040 0.9435 0.6503  1 Fe 1.88, 1 Li 1.89, 1 Co 1.91, 1 Ti 1.97
21 O 0.5107 0.5107 0.6641  2 Co 1.90, 1 Li 1.91, 1 Fe 1.94
22 O 0.6509 0.6509 0.8988  1 Li 1.86, 2 Co 1.87, 1 Ti 1.91
23 O 0.6530 0.1582 0.8994  1 Fe 1.91, 1 Li 1.94, 1 Co 1.95, 1 Ti 1.99
24 O 0.8189 0.8189 0.3991  1 Fe 1.93, 2 Ti 1.96, 1 Li 2.10
25 O 0.8209 0.3319 0.3981  1 Li 1.88, 1 Fe 1.92, 1 Ti 1.99, 1 Co 2.00
26 O 0.9435 0.5040 0.6503  1 Fe 1.88, 1 Li 1.89, 1 Co 1.91, 1 Ti 1.97
27 O 0.9947 0.9947 0.6934  1 Li 1.73, 2 Co 1.88, 1 Ti 1.93
28 O 0.9969 0.9969 0.1909  1 Li 1.75, 1 Co 1.87, 2 Ti 1.93

## Properties
Uncorrected formation energy ... -2.232 eV/atom



[4]
Computed, not measured: a PBEsol-optimized structure of Li4Ti2Fe3Co3O16 at the meta-GGA SCAN level of DFT.

Cell lengths 5.6463, 5.6463, 9.1777 Å; angles 90.31, 90.31, 59.55 degrees
With the nearest neighbours (Å) after each atom.
Element x y z (fractional)
1 Li 0.0000 0.0000 0.0000  4 O 1.76-1.88
2 Li 0.0002 0.0002 0.5004  4 O 1.76-1.88
3 Li 0.3308 0.3308 0.6016  4 O 1.88-1.97
4 Li 0.6648 0.6648 0.1061  4 O 1.88-1.97
5 Ti 0.3356 0.3356 0.0034  6 O 1.90-2.07
6 Ti 0.6708 0.6708 0.4997  5 O 1.87-2.06
7 Fe 0.1720 0.1720 0.2802  6 O 1.85-1.94
8 Fe 0.3483 0.8228 0.7813  6 O 1.86-1.96
9 Fe 0.8228 0.3483 0.7813  6 O 1.86-1.96
10 Co 0.1697 0.6614 0.2824  6 O 1.86-1.95
11 Co 0.6614 0.1697 0.2824  6 O 1.86-1.95
12 Co 0.8322 0.8322 0.7834  6 O 1.86-1.94
13 O 0.0016 0.0016 0.1913  1 Li 1.76, 1 Fe 1.85, 2 Co 1.86
14 O 0.0017 0.0017 0.6925  1 Li 1.76, 1 Co 1.86, 2 Fe 1.87
15 O 0.0365 0.4824 0.1624  1 Fe 1.87, 1 Li 1.88, 1 Co 1.88, 1 Ti 2.07
16 O 0.1638 0.1638 0.8952  1 Li 1.88, 1 Ti 1.95, 2 Fe 1.96
17 O 0.1704 0.6690 0.8960  1 Li 1.87, 1 Ti 1.90, 1 Co 1.94, 1 Fe 1.94
18 O 0.3301 0.8392 0.3948  1 Li 1.88, 1 Ti 1.92, 1 Fe 1.94, 1 Co 1.95
19 O 0.3335 0.3335 0.3872  1 Fe 1.86, 2 Co 1.87, 1 Li 1.97
20 O 0.4797 0.4797 0.1620  2 Co 1.88, 1 Li 1.89, 1 Ti 2.02
21 O 0.4824 0.0365 0.1624  1 Fe 1.87, 1 Li 1.88, 1 Co 1.88, 1 Ti 2.07
22 O 0.5158 0.5158 0.6580  2 Fe 1.87, 1 Li 1.88
23 O 0.5190 0.9599 0.6637  1 Fe 1.86, 1 Co 1.88, 1 Li 1.89, 1 Ti 2.06
24 O 0.6690 0.1704 0.8960  1 Li 1.87, 1 Ti 1.90, 1 Co 1.94, 1 Fe 1.94
25 O 0.6706 0.6706 0.8916  2 Fe 1.87, 1 Co 1.87, 1 Li 1.97
26 O 0.8353 0.8353 0.3977  1 Li 1.87, 1 Ti 1.87, 2 Co 1.94
27 O 0.8392 0.3301 0.3948  1 Li 1.88, 1 Ti 1.92, 1 Fe 1.94, 1 Co 1.95
28 O 0.9599 0.5190 0.6637  1 Fe 1.86, 1 Co 1.88, 1 Li 1.89, 1 Ti 2.06

## Properties
Uncorrected formation energy ... -2.100 eV/atom



[5]
Computed, not measured: a PBEsol-optimized structure of Mg2FeCo at the meta-GGA SCAN level of DFT.

Cell lengths 4.9363, 4.9363, 4.9363 Å; angles 140.87, 130.92, 64.49 degrees
With the nearest neighbours (Å) after each atom.
Element x y z (fractional)
1 Mg 0.2433 0.2433 0.0000  2 Co 2.62, 4 Mg 2.64, 4 Fe 2.71-2.89
2 Mg 0.7567 0.7567 0.0000  2 Co 2.62, 4 Mg 2.64, 4 Fe 2.71-2.89
3 Fe 0.5000 0.0000 0.5000  4 Co 2.63, 8 Mg 2.71-2.89
4 Co 0.0000 0.5000 0.5000  4 Mg 2.62, 4 Fe 2.63

## Properties
DFT total energy ... -11.13 eV per atom



[6]
Computed, not measured: a PBEsol-optimized structure of MgFeCo3 at the meta-GGA SCAN level of DFT.

Cell lengths 4.1738, 4.1738, 4.1738 Å; angles 90.00, 90.00, 90.00 degrees
With the nearest neighbours (Å) after each atom.
Element x y z (fractional)
1 Mg 0.0000 0.0000 0.0000  6 Co 2.09
2 Fe 0.5000 0.5000 0.5000  12 Co 2.95
3 Co 0.0000 0.0000 0.5000  2 Mg 2.09
4 Co 0.0000 0.5000 0.0000  2 Mg 2.09
5 Co 0.5000 0.0000 0.0000  2 Mg 2.09

## Properties
DFT total energy ... -13.37 eV per atom